No. 1
Material: LaMgAlPt3
Method: DFT, PBE-GGA
State: relaxed

a = 7.115 Å, b = 12.252 Å, c = 5.772 Å
α = 90.00°, β = 90.00°, γ = 90.00°
Space group Cmcm (No. 63)
Unique sites:
1 La 0.000 0.203 0.250 x4
2 Mg 0.000 0.467 0.250 x4
3 Al 0.000 0.118 0.750 x4
4 Pt 0.000 0.313 0.750 x4
5 Pt 0.203 0.000 0.000 x8

Summary:
- Energy of formation: -758 meV/atom
- Energy: -5.489 eV per atom
- D(E_F): 12.21 states/eV per cell

No. 2
Material: TiFe2GeH
Method: DFT, PBE-GGA
State: relaxed

a = 2.893 Å, b = 10.947 Å, c = 6.954 Å
α = 90.00°, β = 90.00°, γ = 90.00°
Space group Cmcm (No. 63)
Unique sites:
1 Ti 0.000 0.012 0.250 x4
2 Fe 0.000 0.358 0.051 x8
3 Ge 0.000 0.261 0.750 x4
4 H 0.000 0.500 0.000 x4

Summary:
- Excess energy over the best structure of this formula in the dataset: 65.1 meV per atom
- Energy: -6.750 eV per atom
- D(E_F): 20.50 states/eV per cell

No. 3
Material: SmTiGaAg
Method: DFT, PBE-GGA
State: relaxed

a = 6.965 Å, b = 6.965 Å, c = 6.965 Å
α = 90.00°, β = 90.00°, γ = 90.00°
Space group F-43m (No. 216)
Unique sites:
1 Sm 0.000 0.000 0.000 x4
2 Ti 0.000 0.000 0.500 x4
3 Ga 0.250 0.250 0.750 x4
4 Ag 0.250 0.250 0.250 x4

Summary:
- Energy of formation: -187 meV/atom
- Energy: -4.810 eV per atom
- D(E_F): 10.77 states/eV per cell

No. 4
Material: MgGa2Ru2
Method: DFT, PBE-GGA
State: relaxed

a = 6.958 Å, b = 6.958 Å, c = 3.191 Å
α = 90.00°, β = 90.00°, γ = 90.00°
Space group P4/mbm (No. 127)
Unique sites:
1 Mg 0.000 0.000 0.000 x2
2 Ga 0.149 0.351 0.500 x4
3 Ru 0.147 0.647 0.000 x4

Summary:
- Excess energy over the best structure of this formula in the dataset: 35.8 meV per atom
- Energy of formation: -259 meV/atom
- Energy: -5.499 eV per atom
- D(E_F): 4.62 states/eV per cell